! CsHgO3, optimized geometry, DFT GGA-PBE; values from VASP
! - Formation energy without anion corrections: 3.82 eV/f.u.
! - Total magnetization: 0.00 μB per atom
! - Crystal system: cubic
&SYSTEM
  ibrav = 0, nat = 5, ntyp = 3
/
ATOMIC_SPECIES
Cs 132.91 Cs.upf
Hg 200.59 Hg.upf
O 16.00 O.upf
ATOMIC_POSITIONS angstrom
Cs 0.0000 0.0000 0.0000
Hg 2.2056 2.2056 2.2056
O 0.0000 0.0000 2.2056
O 0.0000 2.2056 0.0000
O 2.2056 0.0000 0.0000
CELL_PARAMETERS angstrom
4.4112 0.0000 0.0000
0.0000 4.4112 0.0000
0.0000 0.0000 4.4112